{
  "formula": "Ba2Al12ZnCu3",
  "functional": "PBE",
  "state": "relaxed",
  "e_form_ev_per_fu": 2.54,
  "energy_ha_per_atom": -0.1220,
  "sg": "R-3m (166)",
  "cell": [[4.583, 2.646, 6.057], [-4.583, 2.646, 6.057], [0.000, -5.292, 6.057]],
  "species": ["Ba", "Ba", "Al", "Al", "Al", "Al", "Al", "Al", "Al", "Al", "Al", "Al", "Al", "Al", "Zn", "Cu", "Cu", "Cu"],
  "fractional_positions": [[0.097, 0.097, 0.097], [0.903, 0.903, 0.903], [0.149, 0.627, 0.627], [0.267, 0.267, 0.594], [0.267, 0.594, 0.267], [0.373, 0.373, 0.851], [0.373, 0.851, 0.373], [0.406, 0.733, 0.733], [0.594, 0.267, 0.267], [0.627, 0.149, 0.627], [0.627, 0.627, 0.149], [0.733, 0.406, 0.733], [0.733, 0.733, 0.406], [0.851, 0.373, 0.373], [0.500, 0.500, 0.500], [0.000, 0.500, 0.500], [0.500, 0.000, 0.500], [0.500, 0.500, 0.000]]
}